No. 1
Below is CeHfCoIr after structural relaxation, with properties calculated at the PBE-GGA level.

The structure in POSCAR format:
```
CeHfCoIr
1.0
0.0000 3.3329 3.3329
3.3329 0.0000 3.3329
3.3329 3.3329 0.0000
Ce Hf Co Ir
1 1 1 1
direct
0.0000 0.0000 0.0000 Ce
0.5000 0.5000 0.5000 Hf
0.7500 0.7500 0.7500 Co
0.2500 0.2500 0.2500 Ir
```

Properties
energy of formation from the pure elements	-0.39	eV/atom
calculated volume	18.51	A^3/atom

---

No. 2
Below is CeHf2CoN4 after structural relaxation, with properties calculated at the PBE-GGA level.

The structure in POSCAR format:
```
CeHf2CoN4
1.0
1.6048 -5.4481 0.0000
1.6048 5.4481 0.0000
0.0000 0.0000 11.0251
Ce Hf Co N
2 4 2 8
direct
0.1063 0.8937 0.7500 Ce
0.8937 0.1063 0.2500 Ce
0.3681 0.6319 0.5551 Hf
0.3681 0.6319 0.9449 Hf
0.6319 0.3681 0.0551 Hf
0.6319 0.3681 0.4449 Hf
0.1562 0.8438 0.2500 Co
0.8438 0.1562 0.7500 Co
0.0000 0.0000 0.0000 N
0.0000 0.0000 0.5000 N
0.2702 0.7298 0.1143 N
0.2702 0.7298 0.3857 N
0.4424 0.5576 0.7500 N
0.5576 0.4424 0.2500 N
0.7298 0.2702 0.6143 N
0.7298 0.2702 0.8857 N
```

Properties
calculated volume	12.05	A^3/atom
formation energy without anion corrections	-1.414	eV/atom

---

No. 3
Below is CeHfCoOs after structural relaxation, with properties calculated at the PBE-GGA level.

The structure in POSCAR format:
```
CeHfCoOs
1.0
0.0000 3.3178 3.3178
3.3178 0.0000 3.3178
3.3178 3.3178 0.0000
Ce Hf Co Os
1 1 1 1
direct
0.0000 0.0000 0.0000 Ce
0.5000 0.5000 0.5000 Hf
0.2500 0.2500 0.2500 Co
0.7500 0.7500 0.7500 Os
```

Properties
energy of formation from the pure elements	-0.19	eV/atom
calculated volume	18.26	A^3/atom

---

No. 4
Below is CeHfCoRh after structural relaxation, with properties calculated at the PBE-GGA level.

The structure in POSCAR format:
```
CeHfCoRh
1.0
0.0000 3.3245 3.3245
3.3245 0.0000 3.3245
3.3245 3.3245 0.0000
Ce Hf Co Rh
1 1 1 1
direct
0.0000 0.0000 0.0000 Ce
0.5000 0.5000 0.5000 Hf
0.7500 0.7500 0.7500 Co
0.2500 0.2500 0.2500 Rh
```

Properties
energy of formation from the pure elements	-0.36	eV/atom
calculated volume	18.37	A^3/atom

---

No. 5
Below is CeHfCoTc after structural relaxation, with properties calculated at the PBE-GGA level.

The structure in POSCAR format:
```
CeHfCoTc
1.0
0.0000 3.3130 3.3130
3.3130 0.0000 3.3130
3.3130 3.3130 0.0000
Ce Hf Co Tc
1 1 1 1
direct
0.0000 0.0000 0.0000 Ce
0.5000 0.5000 0.5000 Hf
0.7500 0.7500 0.7500 Co
0.2500 0.2500 0.2500 Tc
```

Properties
energy of formation from the pure elements	-0.18	eV/atom
calculated volume	18.18	A^3/atom

---

No. 6
Below is Ce4CoHg3 after structural relaxation, with properties calculated at the PBE-GGA level.

The structure in POSCAR format:
```
Ce4CoHg3
1.0
10.6099 0.0000 0.0000
0.0000 6.3783 0.0000
0.0000 0.0000 5.9714
Ce Co Hg
8 2 6
direct
0.0000 0.0391 0.0000 Ce
0.0000 0.4061 0.2767 Ce
0.1948 0.2158 0.7659 Ce
0.3052 0.7842 0.2659 Ce
0.5000 0.5939 0.7767 Ce
0.5000 0.9609 0.5000 Ce
0.6948 0.7842 0.2659 Ce
0.8052 0.2158 0.7659 Ce
0.0000 0.4498 0.7488 Co
0.5000 0.5502 0.2488 Co
0.0000 0.8738 0.4821 Hg
0.2057 0.7104 0.7807 Hg
0.2943 0.2896 0.2807 Hg
0.5000 0.1262 0.9821 Hg
0.7057 0.2896 0.2807 Hg
0.7943 0.7104 0.7807 Hg
```

Properties
energy of formation from the pure elements	-0.15	eV/atom
calculated volume	25.26	A^3/atom

---

No. 7
Below is Ce4Co2Hg after structural relaxation, with properties calculated at the PBE-GGA level.

The structure in POSCAR format:
```
Ce4Co2Hg
1.0
0.0000 6.6398 4.0629
6.0354 0.0000 4.0629
6.0354 6.6398 0.0000
Ce Co Hg
8 4 2
direct
0.1011 0.2728 0.9962 Ce
0.2537 0.6202 0.1489 Ce
0.2728 0.1011 0.6298 Ce
0.3302 0.6698 0.4226 Ce
0.6202 0.2537 0.9772 Ce
0.6698 0.3302 0.5774 Ce
0.6726 0.8274 0.5802 Ce
0.8274 0.6726 0.9198 Ce
0.3328 0.5955 0.7879 Co
0.4621 0.9662 0.9172 Co
0.5955 0.3328 0.2838 Co
0.9662 0.4621 0.6545 Co
0.0954 0.0954 0.4046 Hg
0.8454 0.8454 0.1546 Hg
```

Properties
energy of formation from the pure elements	-0.16	eV/atom
calculated volume	23.26	A^3/atom

---

No. 8
Below is Ce3CoHg after structural relaxation, with properties calculated at the PBE-GGA level.

The structure in POSCAR format:
```
Ce3CoHg
1.0
5.1321 0.0000 0.0000
0.0000 5.1321 0.0000
0.0000 0.0000 5.1321
Ce Co Hg
3 1 1
direct
0.0000 0.0000 0.5000 Ce
0.0000 0.5000 0.0000 Ce
0.5000 0.0000 0.0000 Ce
0.0000 0.0000 0.0000 Co
0.5000 0.5000 0.5000 Hg
```

Properties
energy of formation from the pure elements	-0.12	eV/atom
E above lowest polymorph	82	meV/atom
calculated volume	27.03	A^3/atom

---

No. 9
Below is Ce5CoHg2 after structural relaxation, with properties calculated at the PBE-GGA level.

The structure in POSCAR format:
```
Ce5CoHg2
1.0
-3.3073 3.3073 4.5484
3.3073 -3.3073 4.5484
3.3073 3.3073 -4.5484
Ce Co Hg
5 1 2
direct
0.0000 0.0000 0.0000 Ce
0.0842 0.0842 0.5536 Ce
0.0842 0.5305 0.0000 Ce
0.5305 0.0842 0.0000 Ce
0.5305 0.5305 0.4464 Ce
0.6907 0.6907 0.0000 Co
0.0614 0.5614 0.5000 Hg
0.5614 0.0614 0.5000 Hg
```

Properties
energy of formation from the pure elements	-0.06	eV/atom
calculated volume	24.88	A^3/atom

---

No. 10
Below is Ce4Co2Hg5 after structural relaxation, with properties calculated at the PBE-GGA level.

The structure in POSCAR format:
```
Ce4Co2Hg5
1.0
7.8178 0.0000 0.0000
0.0000 3.5592 0.0000
-0.8314 0.0000 9.4272
Ce Co Hg
4 2 5
direct
0.1826 0.0000 0.3345 Ce
0.2081 0.0000 0.9389 Ce
0.7919 0.0000 0.0611 Ce
0.8174 0.0000 0.6655 Ce
0.0835 0.5000 0.1349 Co
0.9165 0.5000 0.8651 Co
0.1606 0.5000 0.6392 Hg
0.4590 0.5000 0.1655 Hg
0.5000 0.5000 0.5000 Hg
0.5410 0.5000 0.8345 Hg
0.8394 0.5000 0.3608 Hg
```

Properties
energy of formation from the pure elements	-0.30	eV/atom
calculated volume	23.85	A^3/atom

---

No. 11
Below is Ce7Co2Hg2 after structural relaxation, with properties calculated at the PBE-GGA level.

The structure in POSCAR format:
```
Ce7Co2Hg2
1.0
3.8618 -5.5971 0.0000
3.8618 5.5971 0.0000
0.0000 0.0000 6.7182
Ce Co Hg
7 2 2
direct
0.0000 0.0000 0.0000 Ce
0.0000 0.5000 0.2621 Ce
0.0000 0.5000 0.7379 Ce
0.5000 0.0000 0.2621 Ce
0.5000 0.0000 0.7379 Ce
0.5000 0.5000 0.2042 Ce
0.5000 0.5000 0.7958 Ce
0.2743 0.7257 0.0000 Co
0.7257 0.2743 0.0000 Co
0.1809 0.1809 0.5000 Hg
0.8191 0.8191 0.5000 Hg
```

Properties
energy of formation from the pure elements	-0.09	eV/atom
calculated volume	26.40	A^3/atom

---

No. 12
Below is Ce2CoHg after structural relaxation, with properties calculated at the PBE-GGA level.

The structure in POSCAR format:
```
Ce2CoHg
1.0
-2.4169 5.3421 3.3596
2.4169 -5.3421 3.3596
2.4169 5.3421 -3.3596
Ce Co Hg
4 2 2
direct
0.1128 0.2500 0.3628 Ce
0.5822 0.9997 0.0824 Ce
0.8872 0.7500 0.6372 Ce
0.9173 0.4997 0.9176 Ce
0.0980 0.4554 0.1425 Co
0.3129 0.9554 0.8575 Co
0.3748 0.2200 0.6548 Hg
0.5651 0.7200 0.3452 Hg
```

Properties
energy of formation from the pure elements	-0.19	eV/atom
E above lowest polymorph	31	meV/atom
calculated volume	21.69	A^3/atom

---

No. 13
Below is Ce8Co3Hg2 after structural relaxation, with properties calculated at the PBE-GGA level.

The structure in POSCAR format:
```
Ce8Co3Hg2
1.0
6.9048 -3.5391 0.0000
6.9048 3.5391 0.0000
-2.4464 0.0000 6.7923
Ce Co Hg
8 3 2
direct
0.1317 0.1317 0.0585 Ce
0.1537 0.6528 0.6688 Ce
0.3472 0.8463 0.3312 Ce
0.3544 0.3544 0.1789 Ce
0.6456 0.6456 0.8211 Ce
0.6528 0.1537 0.6688 Ce
0.8463 0.3472 0.3312 Ce
0.8683 0.8683 0.9415 Ce
0.3331 0.6669 0.0000 Co
0.5000 0.5000 0.5000 Co
0.6669 0.3331 0.0000 Co
0.2092 0.2092 0.7094 Hg
0.7908 0.7908 0.2906 Hg
```

Properties
energy of formation from the pure elements	-0.10	eV/atom
calculated volume	25.54	A^3/atom

---

No. 14
Below is Ce2CoHg after structural relaxation, with properties calculated at the PBE-GGA level.

The structure in POSCAR format:
```
Ce2CoHg
1.0
1.9123 1.1041 8.0022
-1.9123 1.1041 8.0022
0.0000 -2.2081 8.0022
Ce Co Hg
2 1 1
direct
0.2304 0.2304 0.2304 Ce
0.7696 0.7696 0.7696 Ce
0.5000 0.5000 0.5000 Co
0.0000 0.0000 0.0000 Hg
```

Properties
energy of formation from the pure elements	-0.21	eV/atom
E above lowest polymorph	8	meV/atom
calculated volume	25.34	A^3/atom

---

No. 15
Below is Ce3Co2Hg3 after structural relaxation, with properties calculated at the PBE-GGA level.

The structure in POSCAR format:
```
Ce3Co2Hg3
1.0
7.9468 -2.3747 0.0000
7.9468 2.3747 0.0000
-0.5651 0.0000 4.7842
Ce Co Hg
3 2 3
direct
0.0000 0.0000 0.0000 Ce
0.1724 0.1724 0.5809 Ce
0.8276 0.8276 0.4191 Ce
0.2085 0.2085 0.1606 Co
0.7915 0.7915 0.8394 Co
0.3634 0.3634 0.9635 Hg
0.5000 0.5000 0.5000 Hg
0.6366 0.6366 0.0365 Hg
```

Properties
energy of formation from the pure elements	-0.29	eV/atom
calculated volume	22.57	A^3/atom

---

No. 16
Below is Ce3CoHg after structural relaxation, with properties calculated at the PBE-GGA level.

The structure in POSCAR format:
```
Ce3CoHg
1.0
6.7229 0.0000 0.0000
0.0000 4.5266 0.0000
-2.8533 0.0000 7.8519
Ce Co Hg
6 2 2
direct
0.0111 0.2500 0.2474 Ce
0.2690 0.2500 0.8661 Ce
0.3918 0.7500 0.5561 Ce
0.6082 0.2500 0.4439 Ce
0.7310 0.7500 0.1339 Ce
0.9889 0.7500 0.7526 Ce
0.1125 0.2500 0.5543 Co
0.8875 0.7500 0.4457 Co
0.2755 0.7500 0.1529 Hg
0.7245 0.2500 0.8471 Hg
```

Properties
energy of formation from the pure elements	-0.20	eV/atom
E above lowest polymorph	0	meV/atom
calculated volume	23.89	A^3/atom

---

No. 17
Below is Ce4CoHg after structural relaxation, with properties calculated at the PBE-GGA level.

The structure in POSCAR format:
```
Ce4CoHg
1.0
5.6947 0.0000 0.0000
1.3621 6.3062 0.0000
1.6384 0.7327 8.0029
Ce Co Hg
8 2 2
direct
0.0016 0.2803 0.0872 Ce
0.1231 0.4041 0.6617 Ce
0.2595 0.9382 0.4286 Ce
0.4326 0.8114 0.0654 Ce
0.5674 0.1886 0.9346 Ce
0.7405 0.0618 0.5714 Ce
0.8769 0.5959 0.3383 Ce
0.9984 0.7197 0.9128 Ce
0.1765 0.0589 0.7759 Co
0.8235 0.9411 0.2241 Co
0.4416 0.3712 0.2926 Hg
0.5584 0.6288 0.7074 Hg
```

Properties
energy of formation from the pure elements	-0.16	eV/atom
E above lowest polymorph	0	meV/atom
calculated volume	23.95	A^3/atom

---

No. 18
Below is Ce6Co2Hg after structural relaxation, with properties calculated at the PBE-GGA level.

The structure in POSCAR format:
```
Ce6Co2Hg
1.0
5.2457 -2.2929 0.0000
5.2457 2.2929 0.0000
-0.5243 0.0000 8.6132
Ce Co Hg
6 2 1
direct
0.0747 0.0747 0.3664 Ce
0.2902 0.2902 0.8982 Ce
0.4026 0.4026 0.3190 Ce
0.5974 0.5974 0.6810 Ce
0.7098 0.7098 0.1018 Ce
0.9253 0.9253 0.6336 Ce
0.2585 0.2585 0.6172 Co
0.7415 0.7415 0.3828 Co
0.0000 0.0000 0.0000 Hg
```

Properties
energy of formation from the pure elements	-0.20	eV/atom
calculated volume	23.02	A^3/atom

---

No. 19
Below is Ce2CoHg after structural relaxation, with properties calculated at the PBE-GGA level.

The structure in POSCAR format:
```
Ce2CoHg
1.0
1.9337 1.1164 7.8783
-1.9337 1.1164 7.8783
0.0000 -2.2328 7.8783
Ce Co Hg
2 1 1
direct
0.0000 0.0000 0.0000 Ce
0.2063 0.2063 0.2063 Ce
0.6020 0.6020 0.6020 Co
0.7710 0.7710 0.7710 Hg
```

Properties
energy of formation from the pure elements	-0.19	eV/atom
E above lowest polymorph	24	meV/atom
calculated volume	25.51	A^3/atom

---

No. 20
Below is Ce3CoHg2 after structural relaxation, with properties calculated at the PBE-GGA level.

The structure in POSCAR format:
```
Ce3CoHg2
1.0
3.7835 -5.4792 0.0000
3.7835 5.4792 0.0000
-1.5216 0.0000 7.8003
Ce Co Hg
6 2 4
direct
0.0415 0.4153 0.7795 Ce
0.1751 0.1751 0.1760 Ce
0.4153 0.0415 0.7795 Ce
0.5847 0.9585 0.2205 Ce
0.8249 0.8249 0.8240 Ce
0.9585 0.5847 0.2205 Ce
0.1836 0.8164 0.0000 Co
0.8164 0.1836 0.0000 Co
0.0000 0.0000 0.5000 Hg
0.3668 0.6332 0.5000 Hg
0.5000 0.5000 0.0000 Hg
0.6332 0.3668 0.5000 Hg
```

Properties
energy of formation from the pure elements	-0.16	eV/atom
calculated volume	26.95	A^3/atom

---

No. 21
Below is Ce11Co4Hg9 after structural relaxation, with properties calculated at the PBE-GGA level.

The structure in POSCAR format:
```
Ce11Co4Hg9
1.0
7.4304 -10.7676 0.0000
7.4304 10.7676 0.0000
0.0000 0.0000 3.5832
Ce Co Hg
11 4 9
direct
0.0000 0.0000 0.0000 Ce
0.0847 0.4261 0.0000 Ce
0.1515 0.8485 0.0000 Ce
0.3163 0.3163 0.0000 Ce
0.3720 0.6280 0.0000 Ce
0.4261 0.0847 0.0000 Ce
0.5739 0.9153 0.0000 Ce
0.6280 0.3720 0.0000 Ce
0.6837 0.6837 0.0000 Ce
0.8485 0.1515 0.0000 Ce
0.9153 0.5739 0.0000 Ce
0.2464 0.4493 0.5000 Co
0.4493 0.2464 0.5000 Co
0.5507 0.7536 0.5000 Co
0.7536 0.5507 0.5000 Co
0.0824 0.2240 0.5000 Hg
0.1567 0.6405 0.5000 Hg
0.2240 0.0824 0.5000 Hg
0.3595 0.8433 0.5000 Hg
0.5000 0.5000 0.5000 Hg
0.6405 0.1567 0.5000 Hg
0.7760 0.9176 0.5000 Hg
0.8433 0.3595 0.5000 Hg
0.9176 0.7760 0.5000 Hg
```

Properties
energy of formation from the pure elements	-0.31	eV/atom
calculated volume	23.89	A^3/atom

---

No. 22
Below is Ce4CoHg after structural relaxation, with properties calculated at the PBE-GGA level.

The structure in POSCAR format:
```
Ce4CoHg
1.0
3.9564 -6.9046 0.0000
3.9564 6.9046 0.0000
-2.2339 0.0000 5.3628
Ce Co Hg
8 2 2
direct
0.1221 0.7344 0.9368 Ce
0.1691 0.3416 0.6358 Ce
0.2656 0.8779 0.5632 Ce
0.3416 0.1691 0.1358 Ce
0.6584 0.8309 0.8642 Ce
0.7344 0.1221 0.4368 Ce
0.8309 0.6584 0.3642 Ce
0.8779 0.2656 0.0632 Ce
0.0134 0.9866 0.2500 Co
0.9866 0.0134 0.7500 Co
0.3944 0.6056 0.2500 Hg
0.6056 0.3944 0.7500 Hg
```

Properties
energy of formation from the pure elements	-0.14	eV/atom
E above lowest polymorph	20	meV/atom
calculated volume	24.42	A^3/atom

---

| no. | magnetic moment (μB/cell) | N(E_F) (states/eV per atom) |
| --- | --- | --- |
| 1 | 0.10 | 1.6073 |
| 2 | 0.00 | 0.4162 |
| 3 | 0.04 | 1.3734 |
| 4 | 0.55 | 1.7792 |
| 5 | 0.43 | 0.7052 |
| 6 | 1.94 | 1.9608 |
| 7 | 0.00 | 2.0162 |
| 8 | 2.08 | 3.2981 |
| 9 | 2.49 | 2.3487 |
| 10 | 1.75 | 1.7678 |
| 11 | 3.34 | 2.8992 |
| 12 | 0.00 | 1.4438 |
| 13 | 0.99 | 2.0186 |
| 14 | 1.00 | 2.2479 |
| 15 | 1.00 | 1.5063 |
| 16 | 0.63 | 1.7559 |
| 17 | 2.55 | 2.4722 |
| 18 | 0.91 | 1.9645 |
| 19 | 1.02 | 2.2529 |
| 20 | 5.04 | 2.7269 |
| 21 | 6.41 | 2.2454 |
| 22 | 1.35 | 2.3232 |